No. 1
PrGa2Pt7 | Alexandria via LeMat-Bulk | PBE-GGA | relaxed; formation enthalpy at 0 K = -0.248 eV/atom; M_tot = 0.0 μB/f.u.; symmetry = Cmmm, No. 65; uncorrected energy = -5.56 eV per atom
1.0
4.6081 0.0000 0.0000
0.0000 7.1818 -0.1661
0.0000 -3.3173 6.3720
Pt Ga Pr
7 2 1
direct
0.5000 0.9260 0.6931
0.0000 0.2268 0.7732
0.0000 0.7732 0.2268
0.5000 0.3069 0.0740
0.5000 0.5000 0.5000
0.5000 0.0740 0.3069
0.5000 0.6931 0.9260
0.5000 0.2989 0.7011
0.5000 0.7011 0.2989
0.0000 0.0000 0.0000


No. 2
YIn2Au8 | Alexandria via LeMat-Bulk | PBE-GGA | relaxed; formation enthalpy at 0 K = -0.311 eV/atom; M_tot = 0.0 μB/f.u.; symmetry = C2/m, No. 12; distance to the lowest polymorph of the same formula = 0 meV/atom; uncorrected energy = -3.78 eV per atom
1.0
4.5569 0.0000 -1.3099
-1.0327 7.2224 -3.5922
-0.3336 -1.1180 7.4203
Au Y In
8 1 2
direct
0.1700 0.2773 0.3401
0.6819 0.8873 0.3637
0.5747 0.4301 0.1493
0.8300 0.7227 0.6599
0.9471 0.1801 0.8942
0.4253 0.5699 0.8507
0.3181 0.1127 0.6363
0.0529 0.8199 0.1058
0.5000 0.0000 0.0000
0.1926 0.6623 0.3852
0.8074 0.3377 0.6148


No. 3
ZnSiNi6 | Alexandria via LeMat-Bulk | PBE-GGA | relaxed; M_tot = 0.0 μB/f.u.; symmetry = C2/m, No. 12; distance to the lowest polymorph of the same formula = 271 meV/atom; raw formation energy = -0.007 eV/atom; uncorrected energy = -5.18 eV per atom
1.0
-1.6359 3.8927 -0.1703
-3.8208 0.1339 1.8004
0.8081 2.5880 5.8323
Ni Zn Si
6 1 1
direct
0.0676 0.5518 0.2958
0.9324 0.4482 0.7042
0.3550 0.3550 0.9327
0.4482 0.9324 0.7042
0.5518 0.0676 0.2958
0.6450 0.6450 0.0673
0.5000 0.5000 0.5000
0.0000 0.0000 0.0000


No. 4
AlInAg4 | Alexandria via LeMat-Bulk | PBE-GGA | relaxed; formation enthalpy at 0 K = 0.138 eV/atom; M_tot = 0.0 μB/f.u.; symmetry = F-43m, No. 216; distance to the lowest polymorph of the same formula = 164 meV/atom; uncorrected energy = -2.84 eV per atom
1.0
-3.0380 -4.4400 -1.2751
-4.4845 0.5416 -3.1884
0.0243 -1.9761 -5.1637
Ag In Al
4 1 1
direct
0.3752 0.3752 0.8744
0.8744 0.3752 0.3752
0.3752 0.3752 0.3752
0.3752 0.8744 0.3752
0.0000 0.0000 0.0000
0.7500 0.7500 0.7500


No. 5
NbNiSeBr2 | Alexandria via LeMat-Bulk | PBE-GGA | relaxed; M_tot = 2.6 μB/f.u.; symmetry = P4/mmm, No. 123; distance to the lowest polymorph of the same formula = 77 meV/atom; raw formation energy = 0.467 eV/atom; uncorrected energy = -4.07 eV per atom
1.0
-3.4599 -3.2316 0.2089
2.6984 -2.7080 2.8005
-1.8597 2.2475 3.9651
Br Se Nb Ni
2 1 1 1
direct
0.5000 0.0000 0.0000
0.0000 0.5000 0.0000
0.0000 0.0000 0.5000
0.5000 0.5000 0.5000
0.0000 0.0000 0.0000


No. 6
Fe4B2Mo | Alexandria via LeMat-Bulk | PBE-GGA | relaxed; formation enthalpy at 0 K = -0.117 eV/atom; M_tot = 0.0 μB/f.u.; symmetry = Cmmm, No. 65; uncorrected energy = -8.41 eV per atom
1.0
-1.8601 1.7937 -2.1285
1.9415 -1.0013 -2.5405
-4.5779 -4.2769 0.3965
Fe Mo B
4 1 2
direct
0.5000 0.8200 0.6400
0.0000 0.6806 0.3612
0.5000 0.1800 0.3600
0.0000 0.3194 0.6388
0.0000 0.0000 0.0000
0.5000 0.4271 0.8542
0.5000 0.5729 0.1458


No. 7
Y5Er4Th | Alexandria via LeMat-Bulk | PBE-GGA | relaxed; formation enthalpy at 0 K = 0.032 eV/atom; M_tot = 0.0 μB/f.u.; symmetry = C2/m, No. 12; distance to the lowest polymorph of the same formula = 0 meV/atom; uncorrected energy = -5.77 eV per atom
1.0
3.4316 0.0000 -0.7993
-1.4863 9.3375 -6.3816
0.8903 -2.5987 11.5888
Y Er Th
5 4 1
direct
0.2055 0.2949 0.4110
0.1909 0.8010 0.3817
0.7945 0.7051 0.5890
0.8091 0.1990 0.6183
0.5000 0.5000 0.0000
0.9162 0.6286 0.8325
0.0838 0.3714 0.1675
0.6049 0.9109 0.2099
0.3951 0.0891 0.7901
0.5000 0.0000 0.0000


No. 8
CdCuIr2 | Alexandria via LeMat-Bulk | PBE-GGA | relaxed; formation enthalpy at 0 K = 0.293 eV/atom; M_tot = 0.0 μB/f.u.; symmetry = I-4m2, No. 119; uncorrected energy = -5.39 eV per atom
1.0
4.7163 0.0058 0.0000
1.2624 4.5442 0.0000
-2.9894 -2.2750 2.8516
Ir Cd Cu
2 1 1
direct
0.0000 0.0000 0.0000
0.2500 0.7500 0.5000
0.5000 0.5000 0.0000
0.7500 0.2500 0.5000


No. 9
AcPm4Gd | Alexandria via LeMat-Bulk | PBE-GGA | relaxed; formation enthalpy at 0 K = 0.221 eV/atom; M_tot = 7.7 μB/f.u.; symmetry = F-43m, No. 216; uncorrected energy = -5.98 eV per atom
1.0
-2.4659 -1.4802 6.1475
-0.4643 -6.4681 2.0029
4.1350 -2.3599 4.8370
Pm Gd Ac
4 1 1
direct
0.6256 0.6256 0.1231
0.6256 0.6256 0.6256
0.1231 0.6256 0.6256
0.6256 0.1231 0.6256
0.0000 0.0000 0.0000
0.2500 0.2500 0.2500


No. 10
PaNbAs2Ru5 | Alexandria via LeMat-Bulk | PBE-GGA | relaxed; formation enthalpy at 0 K = -0.405 eV/atom; M_tot = 0.0 μB/f.u.; symmetry = P4/mmm, No. 123; uncorrected energy = -8.77 eV per atom
1.0
4.1198 0.0000 0.0000
0.0000 4.1198 0.0000
0.0000 0.0000 8.6607
Nb Ru As Pa
1 5 2 1
direct
0.0000 0.0000 0.5000
0.5000 0.5000 0.5000
0.5000 0.0000 0.2839
0.5000 0.0000 0.7161
0.0000 0.5000 0.7161
0.0000 0.5000 0.2839
0.5000 0.5000 0.1431
0.5000 0.5000 0.8569
0.0000 0.0000 0.0000


No. 11
Tb5Dy12Ho | Alexandria via LeMat-Bulk | PBE-GGA | relaxed; formation enthalpy at 0 K = 0.121 eV/atom; M_tot = 0.0 μB/f.u.; symmetry = C2/m, No. 12; uncorrected energy = -4.49 eV per atom
1.0
-5.2451 -4.1648 -8.8163
4.7617 -5.7381 -7.0744
-1.3102 -4.8996 3.0965
Dy Tb Ho
12 5 1
direct
0.8403 0.6666 0.5467
0.8262 0.0000 0.4512
0.1597 0.3334 0.4533
0.9931 0.6673 0.0467
0.0069 0.3328 0.9533
0.3256 0.0000 0.0488
0.4931 0.6666 0.4533
0.6744 0.0000 0.9512
0.5069 0.3334 0.5467
0.6604 0.3328 0.0467
0.3396 0.6672 0.9533
0.1738 0.0000 0.5488
0.1663 0.6673 0.5000
0.8337 0.3327 0.5000
0.5000 0.0000 0.5000
0.6664 0.6672 0.0000
0.3336 0.3328 0.0000
0.0000 0.0000 0.0000


No. 12
AlAuBr3 | Alexandria via LeMat-Bulk | PBE-GGA | relaxed; M_tot = 0.0 μB/f.u.; symmetry = Pm-3m, No. 221; distance to the lowest polymorph of the same formula = 0 meV/atom; raw formation energy = -0.140 eV/atom; uncorrected energy = -2.55 eV per atom
1.0
5.0924 0.0000 0.0000
0.0000 5.0924 0.0000
0.0000 0.0000 5.0924
Br Al Au
3 1 1
direct
0.0000 0.5000 0.0000
0.5000 0.0000 0.0000
0.0000 0.0000 0.5000
0.0000 0.0000 0.0000
0.5000 0.5000 0.5000


No. 13
LaTmGaSn | Alexandria via LeMat-Bulk | PBE-GGA | relaxed; formation enthalpy at 0 K = -0.562 eV/atom; M_tot = 0.0 μB/f.u.; symmetry = F-43m, No. 216; uncorrected energy = -4.67 eV per atom
1.0
-1.9163 -3.8507 3.1329
-1.9550 -4.4559 -2.1536
2.6523 -4.5853 0.5055
Ga Sn La Tm
1 1 1 1
direct
0.7500 0.7500 0.7500
0.2500 0.2500 0.2500
0.5000 0.5000 0.5000
0.0000 0.0000 0.0000


No. 14
LiCeAlZn2 | Alexandria via LeMat-Bulk | PBE-GGA | relaxed; formation enthalpy at 0 K = -0.224 eV/atom; M_tot = 1.3 μB/f.u.; symmetry = I-4m2, No. 119; uncorrected energy = -3.05 eV per atom
1.0
-1.6492 3.2399 2.3593
-2.5482 -2.8169 2.0870
5.8114 -0.9232 1.3494
Zn Ce Al Li
2 1 1 1
direct
0.3822 0.3822 0.7645
0.6178 0.6178 0.2355
0.0000 0.0000 0.0000
0.7500 0.2500 0.5000
0.2500 0.7500 0.5000


No. 15
LaCeAg4 | Alexandria via LeMat-Bulk | PBE-GGA | relaxed; formation enthalpy at 0 K = -0.104 eV/atom; M_tot = 1.6 μB/f.u.; symmetry = F-43m, No. 216; distance to the lowest polymorph of the same formula = 108 meV/atom; uncorrected energy = -3.82 eV per atom
1.0
-3.4085 -4.0049 -2.4624
2.1283 -3.4805 -4.1324
0.8688 -5.6329 1.1117
Ag Ce La
4 1 1
direct
0.1246 0.6251 0.6251
0.6251 0.1246 0.6251
0.6251 0.6251 0.6251
0.6251 0.6251 0.1246
0.0000 0.0000 0.0000
0.2500 0.2500 0.2500


No. 16
Rb2Hg6Au | Alexandria via LeMat-Bulk | PBE-GGA | relaxed; formation enthalpy at 0 K = -0.213 eV/atom; M_tot = 0.0 μB/f.u.; symmetry = P-3m1, No. 164; uncorrected energy = -0.99 eV per atom
1.0
-0.2299 1.7198 -6.3048
-6.4387 -2.7849 -0.5258
-5.6642 3.9682 1.2880
Hg Au Rb
6 1 2
direct
0.3177 0.8251 0.8251
0.6822 0.1748 0.6503
0.6822 0.6503 0.1748
0.6823 0.1749 0.1749
0.3178 0.8252 0.3497
0.3178 0.3497 0.8252
0.0000 0.0000 0.0000
0.1699 0.3334 0.3334
0.8301 0.6666 0.6666


No. 17
La2PmSm2Mg5 | Alexandria via LeMat-Bulk | PBE-GGA | relaxed; formation enthalpy at 0 K = -0.002 eV/atom; M_tot = 0.0 μB/f.u.; symmetry = P4/mbm, No. 127; uncorrected energy = -3.20 eV per atom
1.0
-4.8319 -1.8902 -0.3400
3.4086 -7.4714 -6.9044
2.0213 -6.6390 8.1822
La Sm Mg Pm
4 4 10 2
direct
0.0000 0.3249 0.8249
0.0000 0.6751 0.1751
0.0000 0.1751 0.3249
0.0000 0.8249 0.6751
0.0000 0.1223 0.6223
0.0000 0.8777 0.3777
0.0000 0.3777 0.1223
0.0000 0.6223 0.8777
0.5000 0.0000 0.5000
0.5000 0.0733 0.8032
0.5000 0.6968 0.4267
0.5000 0.8032 0.9267
0.5000 0.3032 0.5733
0.5000 0.1968 0.0733
0.5000 0.4267 0.3032
0.5000 0.5733 0.6968
0.5000 0.5000 0.0000
0.5000 0.9267 0.1968
0.0000 0.0000 0.0000
0.0000 0.5000 0.5000


No. 18
LaSm3DyTm | Alexandria via LeMat-Bulk | PBE-GGA | relaxed; formation enthalpy at 0 K = 0.027 eV/atom; M_tot = 0.0 μB/f.u.; symmetry = P2_1/m, No. 11; uncorrected energy = -4.67 eV per atom
1.0
5.1297 0.0000 0.0000
0.0000 8.0200 -0.7904
0.0000 -3.8386 10.1145
Tm La Dy Sm
2 2 2 6
direct
0.7500 0.3791 0.8765
0.2500 0.6209 0.1235
0.2500 0.1226 0.2916
0.7500 0.8774 0.7084
0.2500 0.1278 0.6271
0.7500 0.8722 0.3729
0.2500 0.6261 0.4558
0.7500 0.3775 0.2069
0.2500 0.1300 0.9590
0.2500 0.6225 0.7931
0.7500 0.3739 0.5442
0.7500 0.8700 0.0410


No. 19
Sm2Th3ScS6 | Alexandria via LeMat-Bulk | PBE-GGA | relaxed; M_tot = 0.0 μB/f.u.; symmetry = C2/m, No. 12; raw formation energy = -1.868 eV/atom; uncorrected energy = -7.10 eV per atom
1.0
-2.0970 -3.3420 -0.2207
4.6996 -3.3180 5.5905
-5.4961 5.4875 4.4998
Sm Sc S Th
2 1 6 3
direct
0.1652 0.3314 0.3304
0.8348 0.6686 0.6696
0.5000 0.0000 0.0000
0.6689 0.5791 0.3377
0.0008 0.7706 0.0015
0.6578 0.0815 0.3155
0.3311 0.4209 0.6623
0.9992 0.2294 0.9985
0.3422 0.9185 0.6845
0.5000 0.5000 0.0000
0.8312 0.1661 0.6625
0.1688 0.8339 0.3375


No. 20
Na2AlSiS4 | Alexandria via LeMat-Bulk | PBE-GGA | relaxed; M_tot = 0.8 μB/f.u.; symmetry = I-4, No. 82; raw formation energy = -0.841 eV/atom; uncorrected energy = -4.38 eV per atom
1.0
-2.4333 5.6152 -2.2145
-3.3753 -5.5557 -0.3103
0.6739 -1.1677 6.3669
Na S Si Al
2 4 1 1
direct
0.0000 0.0000 0.0000
0.5000 0.7500 0.2500
0.5605 0.3668 0.4389
0.0721 0.1936 0.6332
0.4395 0.8784 0.8064
0.9279 0.5611 0.1216
0.0000 0.5000 0.5000
0.5000 0.2500 0.7500


No. 21
Na3HgW | Alexandria via LeMat-Bulk | PBE-GGA | relaxed; formation enthalpy at 0 K = 1.324 eV/atom; M_tot = 4.8 μB/f.u.; symmetry = Pm-3m, No. 221; distance to the lowest polymorph of the same formula = 0 meV/atom; uncorrected energy = -2.12 eV per atom
1.0
-3.2196 0.7098 4.4985
-3.3627 -4.0859 -1.7620
3.0713 -3.7294 2.7866
Na W Hg
3 1 1
direct
0.5000 0.0000 0.0000
0.0000 0.5000 0.0000
0.0000 0.0000 0.5000
0.5000 0.5000 0.5000
0.0000 0.0000 0.0000


No. 22
SmYRh | Alexandria via LeMat-Bulk | PBE-GGA | relaxed; formation enthalpy at 0 K = -0.522 eV/atom; M_tot = 0.0 μB/f.u.; symmetry = F-43m, No. 216; distance to the lowest polymorph of the same formula = 34 meV/atom; uncorrected energy = -6.70 eV per atom
1.0
4.8644 0.0000 0.0000
2.4322 4.2127 0.0000
2.4322 1.4042 3.9717
Sm Rh Y
1 1 1
direct
0.0000 0.0000 0.0000
0.2500 0.2500 0.2500
0.5000 0.5000 0.5000


No. 23
CaTa2Fe | Alexandria via LeMat-Bulk | PBE-GGA | relaxed; formation enthalpy at 0 K = 0.790 eV/atom; M_tot = 2.2 μB/f.u.; symmetry = Cmmm, No. 65; distance to the lowest polymorph of the same formula = 485 meV/atom; uncorrected energy = -7.75 eV per atom
1.0
-2.1615 -4.6060 -2.4576
4.4101 -0.4362 3.5053
-1.7143 -0.3247 2.1164
Ca Ta Fe
1 2 1
direct
0.5000 0.0000 0.5000
0.5000 0.5000 0.0000
0.0000 0.0000 0.0000
0.0000 0.5000 0.5000


No. 24
Cr2ReNi | Alexandria via LeMat-Bulk | PBE-GGA | relaxed; formation enthalpy at 0 K = 0.156 eV/atom; M_tot = 0.0 μB/f.u.; symmetry = Cm, No. 8; uncorrected energy = -9.21 eV per atom
1.0
-0.3195 -2.7239 3.5221
1.1312 -3.9487 1.7480
3.7744 1.2945 2.1925
Cr Ni Re
2 1 1
direct
0.2459 0.2459 0.2549
0.9973 0.9973 0.0084
0.5023 0.5023 0.4921
0.7544 0.7544 0.7447


No. 25
PmMgAg2 | Alexandria via LeMat-Bulk | PBE-GGA | relaxed; formation enthalpy at 0 K = -0.233 eV/atom; M_tot = 0.0 μB/f.u.; symmetry = P4/mmm, No. 123; distance to the lowest polymorph of the same formula = 50 meV/atom; uncorrected energy = -3.25 eV per atom
1.0
3.4882 0.0000 0.0000
0.0000 3.4882 0.0000
0.0000 0.0000 7.2938
Ag Pm Mg
2 1 1
direct
0.0000 0.0000 0.7864
0.0000 0.0000 0.2136
0.5000 0.5000 0.5000
0.5000 0.5000 0.0000